(1)
A plane-wave DFT calculation with PBE was carried out for crystalline Th2ScTl2 at its relaxed geometry.

The space group is Immm (No. 71) and the conventional cell measures 4.6135, 6.5607 and 9.7287 Å, with angles of 90.00, 90.00 and 90.00 degrees. Symmetry generates all atoms from Th at (0.0000, 0.0000, 0.2019), Sc at (0.0000, 0.5000, 0.0000) and Tl at (0.0000, 0.2718, 0.5000).

The formation energy is -100.8 meV/atom. The calculation puts the uncorrected energy at -52.82 eV/cell.

---

(2)
A plane-wave DFT calculation with PBE was carried out for crystalline ThSc7Tl4 at its relaxed geometry.

The space group is C2/m (No. 12) and the conventional cell measures 14.0720, 5.5413 and 9.1294 Å, with angles of 90.00, 120.63 and 90.00 degrees. Symmetry generates all atoms from Th at (0.0000, 0.0000, 0.0000), Sc at (0.0000, 0.5000, 0.0000), Sc at (0.0683, 0.0000, 0.4064), Sc at (0.1984, 0.0000, 0.8806), Sc at (0.2471, 0.5000, 0.7006), Tl at (0.0522, 0.5000, 0.7163) and Tl at (0.1878, 0.5000, 0.3362).

The formation energy is 58.7 meV/atom. The calculation puts the uncorrected energy at -121.00 eV/cell.

---

(3)
A plane-wave DFT calculation with PBE was carried out for crystalline ThSc4Tl at its relaxed geometry.

The space group is P4/mmm (No. 123) and the conventional cell measures 3.5195, 3.5195 and 12.3482 Å, with angles of 90.00, 90.00 and 90.00 degrees. Symmetry generates all atoms from Th at (0.0000, 0.0000, 0.0000), Sc at (0.0000, 0.0000, 0.3469), Sc at (0.5000, 0.5000, 0.1784) and Tl at (0.5000, 0.5000, 0.5000).

The formation energy is -76.2 meV/atom. The calculation puts the uncorrected energy at -35.57 eV/cell. The calculation puts the energy above the most stable polymorph in this dataset at 0.000 eV/atom.

---

Number 1: magnetization 0.00 μB/cell, DOS at the Fermi energy 13.71 states/eV per cell. Number 2: magnetization 0.00 μB/cell, DOS at the Fermi energy 32.71 states/eV per cell. Number 3: magnetization 0.95 μB/cell, DOS at the Fermi energy 7.23 states/eV per cell.